MgBiSe2N | Alexandria | PBE-GGA | optimized geometry; SG = P4/mmm, No. 123; VASP energy = -3.4780 eV per atom; excess energy over the best structure of this formula in the dataset = 336.4 meV/atom; E_form (uncorrected) = 3.4 eV/f.u.
1.0
5.492 0.000 0.000
0.000 5.492 0.000
0.000 0.000 4.240
Se N Mg Bi
2 1 1 1
Cartesian
0.000 2.746 0.000
2.746 0.000 0.000
0.000 0.000 2.120
2.746 2.746 2.120
0.000 0.000 0.000


PrDy3Tm2 | Alexandria | PBE-GGA | optimized geometry; formation enthalpy at 0 K = 0.02 eV per atom; SG = C2/c, No. 15; VASP energy = -4.5660 eV per atom; excess energy over the best structure of this formula in the dataset = 24.5 meV/atom
1.0
-2.241 5.745 -3.522
-5.669 -2.367 -0.254
-0.854 0.983 9.308
Tm Pr Dy
4 2 6
Cartesian
-5.363 3.499 0.186
-3.401 0.862 5.345
-6.791 1.103 4.345
-1.973 3.259 1.187
-1.701 0.136 -0.509
-6.209 3.242 -3.266
-5.095 0.387 -1.516
-4.498 3.724 3.577
-2.815 2.991 -2.260
-7.896 3.984 2.565
-4.266 0.638 1.954
-0.868 0.377 2.967


EuLuZnPt | Alexandria | PBE-GGA | optimized geometry; formation enthalpy at 0 K = -0.67 eV per atom; SG = F-43m, No. 216; VASP energy = -6.2009 eV per atom
1.0
5.004 0.000 0.000
2.502 4.333 0.000
2.502 1.444 4.085
Eu Zn Lu Pt
1 1 1 1
Cartesian
0.000 0.000 0.000
2.502 1.444 1.021
5.004 2.889 2.043
7.505 4.333 3.064